DFT (PBE) results for a relaxed structure of CuSiPt2.

Unit cell a=6.803 b=6.803 c=5.503 alpha=51.82 beta=51.82 gamma=90.00
Positions (direct):
Si 0.500 0.500 0.000
Si 0.250 0.750 0.500
Cu 0.000 0.000 0.000
Cu 0.750 0.250 0.500
Pt 0.587 0.125 0.250
Pt 0.163 0.625 0.250
Pt 0.375 0.413 0.750
Pt 0.875 0.837 0.750

Output
- M_tot: 0.0 Bohr magnetons per cell
- SG: I-42d (122)
- N(E_F): 3.206 states/eV/cell
- Energy relative to the elements, uncorrected: -0.2789 eV per atom
- VASP energy: -22.72 eV per formula unit

---

DFT (PBE) results for a relaxed structure of CuSiPt2.

Unit cell a=3.899 b=3.899 c=5.235 alpha=68.13 beta=68.13 gamma=60.00
Positions (direct):
Cu 0.497 0.497 0.510
Si 0.670 0.670 0.989
Pt 0.067 0.067 0.800
Pt 0.266 0.266 0.201

Output
- M_tot: 0.0 Bohr magnetons per cell
- SG: R3m (160)
- N(E_F): 1.527 states/eV/cell
- Energy relative to the elements, uncorrected: -0.3872 eV per atom
- VASP energy: -23.15 eV per formula unit

---

DFT (PBE) results for a relaxed structure of Cu2SiPt2.

Unit cell a=6.220 b=6.220 c=3.910 alpha=90.00 beta=90.00 gamma=90.00
Positions (direct):
Si 0.000 0.000 0.000
Si 0.500 0.500 0.000
Cu 0.148 0.648 0.500
Cu 0.648 0.852 0.500
Cu 0.852 0.352 0.500
Cu 0.352 0.148 0.500
Pt 0.346 0.846 0.000
Pt 0.846 0.654 0.000
Pt 0.654 0.154 0.000
Pt 0.154 0.346 0.000

Output
- M_tot: 0.0 Bohr magnetons per cell
- E above lowest polymorph: 0.1375 eV per atom
- SG: P4/mbm (127)
- N(E_F): 4.901 states/eV/cell
- Energy relative to the elements, uncorrected: -0.2152 eV per atom
- VASP energy: -26.77 eV per formula unit

---

DFT (PBE) results for a relaxed structure of Cu2SiPt2.

Unit cell a=4.937 b=5.210 c=6.590 alpha=110.57 beta=90.00 gamma=118.28
Positions (direct):
Cu 0.778 0.791 0.050
Cu 0.987 0.209 0.450
Cu 0.222 0.209 0.950
Cu 0.013 0.791 0.550
Si 0.692 0.000 0.750
Si 0.308 0.000 0.250
Pt 0.557 0.333 0.639
Pt 0.224 0.667 0.861
Pt 0.443 0.667 0.361
Pt 0.776 0.333 0.139

Output
- M_tot: 0.0 Bohr magnetons per cell
- E above lowest polymorph: 0.0000 eV per atom
- SG: C2/c (15)
- N(E_F): 3.295 states/eV/cell
- Energy relative to the elements, uncorrected: -0.3527 eV per atom
- VASP energy: -27.46 eV per formula unit

---

DFT (PBE) results for a relaxed structure of Cu4SiPt.

Unit cell a=3.946 b=4.691 c=5.012 alpha=112.47 beta=90.00 gamma=114.87
Positions (direct):
Cu 0.312 0.624 0.163
Cu 0.688 0.376 0.837
Cu 0.350 0.699 0.689
Cu 0.650 0.301 0.311
Si 0.000 0.000 0.000
Pt 0.000 0.000 0.500

Output
- M_tot: 0.0 Bohr magnetons per cell
- E above lowest polymorph: 0.0000 eV per atom
- SG: C2/m (12)
- N(E_F): 2.790 states/eV/cell
- Energy relative to the elements, uncorrected: -0.1748 eV per atom
- VASP energy: -28.90 eV per formula unit

---

DFT (PBE) results for a relaxed structure of CuSiPt2.

Unit cell a=4.892 b=4.892 c=4.892 alpha=135.63 beta=135.63 gamma=64.56
Positions (direct):
Cu 0.750 0.250 0.500
Pt 0.000 0.000 0.000
Pt 0.250 0.750 0.500
Si 0.500 0.500 0.000

Output
- M_tot: 0.0 Bohr magnetons per cell
- SG: I-4m2 (119)
- N(E_F): 2.126 states/eV/cell
- Energy relative to the elements, uncorrected: -0.2760 eV per atom
- VASP energy: -22.70 eV per formula unit

---

DFT (PBE) results for a relaxed structure of CuSi2Pt2.

Unit cell a=3.371 b=3.362 c=6.767 alpha=104.38 beta=104.42 gamma=90.00
Positions (direct):
Cu 0.000 0.000 0.000
Si 0.813 0.813 0.626
Si 0.187 0.187 0.374
Pt 0.620 0.620 0.240
Pt 0.380 0.380 0.760

Output
- M_tot: 0.0 Bohr magnetons per cell
- E above lowest polymorph: 0.0000 eV per atom
- SG: I4/mmm (139)
- N(E_F): 2.276 states/eV/cell
- Energy relative to the elements, uncorrected: -0.4319 eV per atom
- VASP energy: -29.18 eV per formula unit

---

DFT (PBE) results for a relaxed structure of CuSi3Pt.

Unit cell a=4.419 b=4.419 c=4.419 alpha=90.00 beta=90.00 gamma=90.00
Positions (direct):
Si 0.000 0.500 0.000
Si 0.000 0.000 0.500
Si 0.500 0.000 0.000
Cu 0.000 0.000 0.000
Pt 0.500 0.500 0.500

Output
- M_tot: 0.0 Bohr magnetons per cell
- E above lowest polymorph: 0.0000 eV per atom
- SG: Pm-3m (221)
- N(E_F): 2.388 states/eV/cell
- Energy relative to the elements, uncorrected: 0.7212 eV per atom
- VASP energy: -22.80 eV per formula unit

---

Repeat the eighth record exactly.
DFT (PBE) results for a relaxed structure of CuSi3Pt.

Unit cell a=4.419 b=4.419 c=4.419 alpha=90.00 beta=90.00 gamma=90.00
Positions (direct):
Si 0.000 0.500 0.000
Si 0.000 0.000 0.500
Si 0.500 0.000 0.000
Cu 0.000 0.000 0.000
Pt 0.500 0.500 0.500

Output
- M_tot: 0.0 Bohr magnetons per cell
- E above lowest polymorph: 0.0000 eV per atom
- SG: Pm-3m (221)
- N(E_F): 2.388 states/eV/cell
- Energy relative to the elements, uncorrected: 0.7212 eV per atom
- VASP energy: -22.80 eV per formula unit

---

Question: Which formula does entry 2 have?
Answer: CuSiPt2

---

Question: What is the formula in the second record?
Answer: CuSiPt2

---

Question: Among the records above, which one has the lowest energy relative to the elements, uncorrected?
Answer: CuSi2Pt2